Entry 1:
## Cs2NaHg5 (PBE)

Data for a relaxed structure of Cs2NaHg5.

Lattice parameters (Å, degrees): 7.962 7.286 7.961 103.62 129.26 99.55
Fractional coordinates of all 8 atoms:
Hg  0.006  0.516  0.510
Hg  0.475  0.627  0.611
Na  0.998  0.900  0.901
Hg  0.016  0.627  0.152
Cs  0.421  0.150  0.728
Hg  0.495  0.301  0.308
Cs  0.596  0.800  0.204
Hg  0.993  0.301  0.807

Values from the calculation:
Symmetry: Cm, No. 8

Entry 2:
## CsNaHg17 (PBE)

Data for a relaxed structure of CsNaHg17.

Lattice parameters (Å, degrees): 8.459 8.459 8.459 76.85 76.85 76.85
Fractional coordinates of all 19 atoms:
Hg  0.931  0.931  0.931
Hg  0.347  0.909  0.347
Hg  0.698  0.008  0.299
Na  0.317  0.317  0.317
Hg  0.299  0.008  0.698
Hg  0.909  0.347  0.347
Hg  0.008  0.698  0.299
Cs  0.652  0.652  0.652
Hg  0.110  0.110  0.110
Hg  0.552  0.960  0.960
Hg  0.960  0.960  0.552
Hg  0.008  0.299  0.698
Hg  0.698  0.299  0.008
Hg  0.960  0.552  0.960
Hg  0.347  0.347  0.909
Hg  0.299  0.698  0.008
Hg  0.590  0.226  0.590
Hg  0.590  0.590  0.226
Hg  0.226  0.590  0.590

Values from the calculation:
Symmetry: R3m, No. 160

Entry 3:
## Cs2NaHg2 (PBE)

Data for a relaxed structure of Cs2NaHg2.

Lattice parameters (Å, degrees): 7.487 7.487 7.116 58.26 58.26 90.00
Fractional coordinates of all 5 atoms:
Hg  0.657  0.657  0.685
Cs  0.750  0.250  0.500
Na  0.000  0.000  0.000
Cs  0.250  0.750  0.500
Hg  0.343  0.343  0.315

Values from the calculation:
Offset from the most stable computed form (meV/atom): 73
Symmetry: I4/mmm, No. 139

Entry 4:
## CsNa4Hg15 (PBE)

Data for a relaxed structure of CsNa4Hg15.

Lattice parameters (Å, degrees): 4.871 4.871 23.875 90.00 90.00 90.00
Fractional coordinates of all 20 atoms:
Hg  0.500  0.500  0.406
Cs  0.000  0.000  0.000
Hg  0.500  0.000  0.121
Hg  0.500  0.000  0.879
Hg  0.500  0.000  0.690
Hg  0.500  0.000  0.500
Hg  0.500  0.000  0.310
Na  0.000  0.000  0.782
Hg  0.500  0.500  0.784
Hg  0.500  0.500  0.216
Na  0.000  0.000  0.218
Hg  0.000  0.500  0.500
Na  0.000  0.000  0.405
Hg  0.000  0.500  0.690
Na  0.000  0.000  0.595
Hg  0.000  0.500  0.310
Hg  0.000  0.500  0.121
Hg  0.500  0.500  0.000
Hg  0.000  0.500  0.879
Hg  0.500  0.500  0.594

Values from the calculation:
Symmetry: P4/mmm, No. 123

Entry 5:
## Cs3Na6Hg (PBE)

Data for a relaxed structure of Cs3Na6Hg.

Lattice parameters (Å, degrees): 10.403 10.403 10.403 83.39 83.39 83.39
Fractional coordinates of all 20 atoms:
Na  0.800  0.800  0.064
Na  0.422  0.801  0.422
Na  0.422  0.422  0.801
Hg  0.000  0.000  0.000
Na  0.200  0.936  0.200
Na  0.578  0.199  0.578
Na  0.064  0.800  0.800
Na  0.800  0.064  0.800
Na  0.200  0.200  0.936
Hg  0.500  0.500  0.500
Cs  0.454  0.837  0.837
Na  0.578  0.578  0.199
Na  0.936  0.200  0.200
Cs  0.837  0.454  0.837
Na  0.801  0.422  0.422
Cs  0.837  0.837  0.454
Cs  0.163  0.163  0.546
Na  0.199  0.578  0.578
Cs  0.163  0.546  0.163
Cs  0.546  0.163  0.163

Values from the calculation:
Symmetry: R-3m, No. 166

Entry 6:
## Cs2NaHg4 (PBE)

Data for a relaxed structure of Cs2NaHg4.

Lattice parameters (Å, degrees): 5.869 5.869 10.469 73.72 73.72 90.00
Fractional coordinates of all 7 atoms:
Hg  0.841  0.841  0.319
Hg  0.000  0.500  0.000
Cs  0.637  0.637  0.726
Hg  0.159  0.159  0.681
Hg  0.500  0.000  0.000
Na  0.000  0.000  0.000
Cs  0.363  0.363  0.274

Values from the calculation:
Offset from the most stable computed form (meV/atom): 46
Symmetry: I4/mmm, No. 139

Number 1: formation energy -1.68 eV per formula unit. Number 2: formation energy -1.76 eV per formula unit. Number 3: formation energy -0.65 eV per formula unit. Number 4: formation energy -3.43 eV per formula unit. Number 5: formation energy -0.12 eV per formula unit. Number 6: formation energy -1.05 eV per formula unit.